# 1
A relaxed Cs3La2PaS6 crystal. Source: Alexandria, functional PBE. Values from VASP.

## Properties
* DFT total energy: -5.6092 eV/atom
* spin magnetization: 1.65 μB per cell
* uncorrected formation energy: -1.72 eV/atom
* SG: C2/m, No. 12

Geometry as Quantum ESPRESSO input:
```
&SYSTEM
  ibrav = 0, nat = 12, ntyp = 4
/
ATOMIC_SPECIES
Cs 132.91 Cs.upf
La 138.91 La.upf
Pa 231.04 Pa.upf
S 32.06 S.upf
CELL_PARAMETERS angstrom
-1.220 -2.897 -6.680
0.069 -4.361 5.957
-7.563 3.585 1.187
ATOMIC_POSITIONS crystal
Cs 0.170 0.830 0.500
Cs 0.830 0.170 0.500
Cs 0.500 0.500 0.500
La 0.334 0.666 0.000
La 0.666 0.334 0.000
Pa 0.000 0.000 0.000
S 0.938 0.621 0.815
S 0.745 0.745 0.186
S 0.062 0.379 0.185
S 0.621 0.938 0.815
S 0.255 0.255 0.814
S 0.379 0.062 0.185
```

---

# 2
A relaxed AcTh2Pa crystal. Source: Alexandria, functional PBE. Values from VASP.

## Properties
* energy relative to the lowest polymorph listed for this composition: 89.9 meV per atom
* DFT total energy: -6.7659 eV/atom
* spin magnetization: 0.00 μB per cell
* formation energy from the elements: 345 meV per atom
* SG: R-3m, No. 166

Geometry as Quantum ESPRESSO input:
```
&SYSTEM
  ibrav = 0, nat = 4, ntyp = 3
/
ATOMIC_SPECIES
Ac 227.00 Ac.upf
Pa 231.04 Pa.upf
Th 232.04 Th.upf
CELL_PARAMETERS angstrom
-2.199 0.615 2.695
0.972 -0.820 3.296
4.509 11.389 3.396
ATOMIC_POSITIONS crystal
Ac 0.000 0.000 0.000
Pa 0.500 0.500 0.500
Th 0.094 0.094 0.719
Th 0.906 0.906 0.281
```

---

# 3
A relaxed AcAlPbS4 crystal. Source: Alexandria, functional PBE. Values from VASP.

## Properties
* DFT total energy: -5.3045 eV/atom
* spin magnetization: 0.00 μB per cell
* uncorrected formation energy: -1.29 eV/atom
* SG: P2_1/m, No. 11

Geometry as Quantum ESPRESSO input:
```
&SYSTEM
  ibrav = 0, nat = 14, ntyp = 4
/
ATOMIC_SPECIES
Ac 227.00 Ac.upf
Al 26.98 Al.upf
Pb 207.20 Pb.upf
S 32.06 S.upf
CELL_PARAMETERS angstrom
6.802 0.000 0.083
0.000 6.686 0.000
-2.553 0.000 7.841
ATOMIC_POSITIONS crystal
Ac 0.770 0.750 0.446
Ac 0.230 0.250 0.554
Al 0.227 0.750 0.296
Al 0.773 0.250 0.704
Pb 0.744 0.750 0.941
Pb 0.256 0.250 0.059
S 0.999 0.504 0.757
S 0.001 0.004 0.243
S 0.001 0.496 0.243
S 0.999 0.996 0.757
S 0.428 0.750 0.126
S 0.572 0.250 0.874
S 0.402 0.750 0.576
S 0.598 0.250 0.424
```

---

# 4
A relaxed Ti8BeSb2 crystal. Source: Alexandria, functional PBE. Values from VASP.

## Properties
* DFT total energy: -6.9851 eV/atom
* spin magnetization: 0.00 μB per cell
* uncorrected formation energy: -0.16 eV/atom
* SG: C2/m, No. 12

Geometry as Quantum ESPRESSO input:
```
&SYSTEM
  ibrav = 0, nat = 11, ntyp = 3
/
ATOMIC_SPECIES
Ti 47.87 Ti.upf
Be 9.01 Be.upf
Sb 121.76 Sb.upf
CELL_PARAMETERS angstrom
4.655 0.000 0.000
0.000 5.351 -0.127
-2.327 -2.398 7.724
ATOMIC_POSITIONS crystal
Ti 0.416 0.523 0.832
Ti 0.647 0.037 0.294
Ti 0.771 0.677 0.542
Ti 0.999 0.242 0.999
Ti 0.229 0.323 0.458
Ti 0.353 0.963 0.706
Ti 0.584 0.477 0.168
Ti 0.001 0.758 0.001
Be 0.500 0.000 0.000
Sb 0.832 0.257 0.664
Sb 0.168 0.743 0.336
```

---

# 5
A relaxed BaTmIn2 crystal. Source: Alexandria, functional PBE. Values from VASP.

## Properties
* DFT total energy: -3.3785 eV/atom
* spin magnetization: 0.00 μB per cell
* formation energy from the elements: -411 meV per atom
* SG: P4/mmm, No. 123

Geometry as Quantum ESPRESSO input:
```
&SYSTEM
  ibrav = 0, nat = 4, ntyp = 3
/
ATOMIC_SPECIES
Tm 168.93 Tm.upf
Ba 137.33 Ba.upf
In 114.82 In.upf
CELL_PARAMETERS angstrom
-0.968 -3.727 0.807
0.625 -0.976 -3.760
7.810 -1.655 1.727
ATOMIC_POSITIONS crystal
Tm 0.500 0.500 0.000
Ba 0.500 0.500 0.500
In 0.000 0.000 0.797
In 0.000 0.000 0.203
```

---

# 6
A relaxed PuHg2Au crystal. Source: Alexandria, functional PBE. Values from VASP.

## Properties
* energy relative to the lowest polymorph listed for this composition: 54.5 meV per atom
* DFT total energy: -4.7018 eV/atom
* spin magnetization: 5.94 μB per cell
* formation energy from the elements: -149 meV per atom
* SG: P4/mmm, No. 123

Geometry as Quantum ESPRESSO input:
```
&SYSTEM
  ibrav = 0, nat = 4, ntyp = 3
/
ATOMIC_SPECIES
Au 196.97 Au.upf
Hg 200.59 Hg.upf
Pu 244.00 Pu.upf
CELL_PARAMETERS angstrom
-0.004 0.869 -4.927
2.980 -3.232 -0.572
-3.283 -2.935 -0.515
ATOMIC_POSITIONS crystal
Au 0.500 0.000 0.000
Hg 0.000 0.000 0.500
Hg 0.000 0.500 0.000
Pu 0.500 0.500 0.500
```

---

# 7
A relaxed Cs2Hg6S7 crystal. Source: Alexandria, functional PBE. Values from VASP.

## Properties
* DFT total energy: -2.5662 eV/atom
* spin magnetization: 0.00 μB per cell
* uncorrected formation energy: -0.41 eV/atom
* SG: P4_2nm, No. 102

Geometry as Quantum ESPRESSO input:
```
&SYSTEM
  ibrav = 0, nat = 30, ntyp = 3
/
ATOMIC_SPECIES
Cs 132.91 Cs.upf
Hg 200.59 Hg.upf
S 32.06 S.upf
CELL_PARAMETERS angstrom
-1.519 -10.133 10.016
11.253 -7.032 -5.407
2.594 2.164 2.583
ATOMIC_POSITIONS crystal
Cs 0.170 0.830 0.722
Cs 0.670 0.670 0.222
Cs 0.330 0.330 0.222
Cs 0.830 0.170 0.722
Hg 0.902 0.902 0.315
Hg 0.402 0.598 0.815
Hg 0.598 0.402 0.815
Hg 0.098 0.098 0.315
Hg 0.155 0.572 0.223
Hg 0.845 0.428 0.223
Hg 0.928 0.655 0.723
Hg 0.072 0.345 0.723
Hg 0.428 0.845 0.223
Hg 0.345 0.072 0.723
Hg 0.655 0.928 0.723
Hg 0.572 0.155 0.223
S 0.818 0.818 0.713
S 0.318 0.682 0.213
S 0.682 0.318 0.213
S 0.182 0.182 0.713
S 0.500 0.500 0.495
S 0.000 0.000 0.995
S 0.024 0.691 0.223
S 0.976 0.309 0.223
S 0.809 0.524 0.723
S 0.191 0.476 0.723
S 0.309 0.976 0.223
S 0.476 0.191 0.723
S 0.691 0.024 0.223
S 0.524 0.809 0.723
```

---

# 8
A relaxed SmGa2Pd3 crystal. Source: Alexandria, functional PBE. Values from VASP.

## Properties
* DFT total energy: -5.0961 eV/atom
* spin magnetization: 0.00 μB per cell
* formation energy from the elements: -704 meV per atom
* SG: C2/m, No. 12

Geometry as Quantum ESPRESSO input:
```
&SYSTEM
  ibrav = 0, nat = 12, ntyp = 3
/
ATOMIC_SPECIES
Sm 150.36 Sm.upf
Ga 69.72 Ga.upf
Pd 106.42 Pd.upf
CELL_PARAMETERS angstrom
4.232 0.000 0.000
-2.116 7.931 0.082
0.000 -3.505 6.599
ATOMIC_POSITIONS crystal
Sm 0.850 0.701 0.920
Sm 0.150 0.299 0.080
Ga 0.483 0.967 0.821
Ga 0.517 0.033 0.179
Ga 0.809 0.617 0.307
Ga 0.191 0.383 0.693
Pd 0.314 0.627 0.560
Pd 0.961 0.922 0.635
Pd 0.604 0.208 0.698
Pd 0.396 0.792 0.302
Pd 0.039 0.078 0.365
Pd 0.686 0.373 0.440
```